No. 1
A relaxed EuInAgBi crystal. Source: the Alexandria database, functional PBE-GGA.

Structure (POSCAR):
```
EuInAgBi
1.0
0.000 3.830 3.830
3.830 0.000 3.830
3.830 3.830 0.000
Eu In Ag Bi
1 1 1 1
direct
0.000 0.000 0.000
0.500 0.500 0.500
0.250 0.250 0.250
0.750 0.750 0.750
```

## Properties
D(E_F) = 0.762 states/eV/atom
E_form = -0.25 eV per atom
Magnetic moment = 7.089 μB/cell



No. 2
A relaxed EuLuAgBi crystal. Source: the Alexandria database, functional PBE-GGA.

Structure (POSCAR):
```
EuLuAgBi
1.0
0.000 3.797 3.797
3.797 0.000 3.797
3.797 3.797 0.000
Eu Lu Ag Bi
1 1 1 1
direct
0.000 0.000 0.000
0.500 0.500 0.500
0.750 0.750 0.750
0.250 0.250 0.250
```

## Properties
D(E_F) = 0.869 states/eV/atom
E_form = -0.43 eV per atom
Magnetic moment = 7.840 μB/cell



No. 3
A relaxed EuMgAgBi crystal. Source: the Alexandria database, functional PBE-GGA.

Structure (POSCAR):
```
EuMgAgBi
1.0
0.000 3.754 3.754
3.754 0.000 3.754
3.754 3.754 0.000
Eu Mg Ag Bi
1 1 1 1
direct
0.000 0.000 0.000
0.500 0.500 0.500
0.250 0.250 0.250
0.750 0.750 0.750
```

## Properties
D(E_F) = 0.177 states/eV/atom
E_form = -0.37 eV per atom
Magnetic moment = 6.985 μB/cell



No. 4
A relaxed NdEuAgBi crystal. Source: the Alexandria database, functional PBE-GGA.

Structure (POSCAR):
```
NdEuAgBi
1.0
0.000 3.889 3.889
3.889 0.000 3.889
3.889 3.889 0.000
Nd Eu Ag Bi
1 1 1 1
direct
0.000 0.000 0.000
0.500 0.500 0.500
0.250 0.250 0.250
0.750 0.750 0.750
```

## Properties
D(E_F) = 0.689 states/eV/atom
E_form = -0.53 eV per atom
Magnetic moment = 7.985 μB/cell



No. 5
A relaxed EuAgBiPd crystal. Source: the Alexandria database, functional PBE-GGA.

Structure (POSCAR):
```
EuAgBiPd
1.0
0.000 3.599 3.599
3.599 0.000 3.599
3.599 3.599 0.000
Eu Ag Bi Pd
1 1 1 1
direct
0.000 0.000 0.000
0.750 0.750 0.750
0.500 0.500 0.500
0.250 0.250 0.250
```

## Properties
D(E_F) = 3.151 states/eV/atom
E_form = -0.44 eV per atom
Magnetic moment = 6.947 μB/cell



No. 6
A relaxed EuAgBiRh crystal. Source: the Alexandria database, functional PBE-GGA.

Structure (POSCAR):
```
EuAgBiRh
1.0
0.000 3.551 3.551
3.551 0.000 3.551
3.551 3.551 0.000
Eu Ag Bi Rh
1 1 1 1
direct
0.000 0.000 0.000
0.750 0.750 0.750
0.500 0.500 0.500
0.250 0.250 0.250
```

## Properties
D(E_F) = 3.227 states/eV/atom
E_form = -0.24 eV per atom
Magnetic moment = 6.826 μB/cell



No. 7
A relaxed EuScAgBi crystal. Source: the Alexandria database, functional PBE-GGA.

Structure (POSCAR):
```
EuScAgBi
1.0
0.000 3.737 3.737
3.737 0.000 3.737
3.737 3.737 0.000
Eu Sc Ag Bi
1 1 1 1
direct
0.000 0.000 0.000
0.500 0.500 0.500
0.250 0.250 0.250
0.750 0.750 0.750
```

## Properties
D(E_F) = 0.805 states/eV/atom
E_form = -0.41 eV per atom
Magnetic moment = 8.045 μB/cell



No. 8
A relaxed SrEuAgBi crystal. Source: the Alexandria database, functional PBE-GGA.

Structure (POSCAR):
```
SrEuAgBi
1.0
0.000 3.995 3.995
3.995 0.000 3.995
3.995 3.995 0.000
Sr Eu Ag Bi
1 1 1 1
direct
0.000 0.000 0.000
0.500 0.500 0.500
0.750 0.750 0.750
0.250 0.250 0.250
```

## Properties
D(E_F) = 2.743 states/eV/atom
E_form = -0.63 eV per atom
Magnetic moment = 7.047 μB/cell



No. 9
A relaxed TbEuAgBi crystal. Source: the Alexandria database, functional PBE-GGA.

Structure (POSCAR):
```
TbEuAgBi
1.0
0.000 3.836 3.836
3.836 0.000 3.836
3.836 3.836 0.000
Tb Eu Ag Bi
1 1 1 1
direct
0.000 0.000 0.000
0.500 0.500 0.500
0.250 0.250 0.250
0.750 0.750 0.750
```

## Properties
D(E_F) = 0.738 states/eV/atom
E_form = -0.49 eV per atom
Magnetic moment = 7.955 μB/cell



No. 10
A relaxed Ag2BiF6 crystal. Source: the Alexandria database, functional PBE-GGA.

Structure (POSCAR):
```
Ag2BiF6
1.0
5.309 0.000 0.000
0.000 5.309 0.000
0.000 0.000 11.115
Ag Bi F
4 2 12
direct
0.000 0.000 0.167
0.000 0.000 0.833
0.500 0.500 0.333
0.500 0.500 0.667
0.000 0.000 0.500
0.500 0.500 0.000
0.197 0.197 0.344
0.197 0.197 0.656
0.202 0.202 0.000
0.298 0.702 0.500
0.303 0.697 0.156
0.303 0.697 0.844
0.697 0.303 0.156
0.697 0.303 0.844
0.702 0.298 0.500
0.798 0.798 0.000
0.803 0.803 0.344
0.803 0.803 0.656
```

## Properties
D(E_F) = 0.597 states/eV/atom
Raw formation energy = -1.69 eV/atom
Magnetic moment = 1.396 μB/cell



No. 11
A relaxed Ag2BiF5 crystal. Source: the Alexandria database, functional PBE-GGA.

Structure (POSCAR):
```
Ag2BiF5
1.0
10.353 0.000 0.000
0.000 7.380 0.000
0.000 0.000 6.432
Ag Bi F
8 4 20
direct
0.169 0.003 0.034
0.169 0.497 0.034
0.331 0.503 0.534
0.331 0.997 0.534
0.669 0.003 0.466
0.669 0.497 0.466
0.831 0.503 0.966
0.831 0.997 0.966
0.006 0.250 0.575
0.494 0.750 0.075
0.506 0.250 0.925
0.994 0.750 0.425
0.014 0.250 0.937
0.088 0.540 0.654
0.088 0.960 0.654
0.178 0.250 0.356
0.209 0.750 0.312
0.291 0.250 0.812
0.322 0.750 0.856
0.412 0.040 0.154
0.412 0.460 0.154
0.486 0.750 0.437
0.514 0.250 0.563
0.588 0.540 0.846
0.588 0.960 0.846
0.678 0.250 0.144
0.709 0.750 0.188
0.791 0.250 0.688
0.822 0.750 0.644
0.912 0.040 0.346
0.912 0.460 0.346
0.986 0.750 0.063
```

## Properties
D(E_F) = 0.000 states/eV/atom
Raw formation energy = -1.71 eV/atom
Magnetic moment = 0.000 μB/cell



No. 12
A relaxed AgBi2F11 crystal. Source: the Alexandria database, functional PBE-GGA.

Structure (POSCAR):
```
AgBi2F11
1.0
-4.144 5.134 5.481
4.144 -5.134 5.481
4.144 5.134 -5.481
Ag Bi F
2 4 22
direct
0.250 0.250 0.000
0.750 0.750 0.000
0.191 0.622 0.813
0.309 0.122 0.431
0.691 0.878 0.569
0.809 0.378 0.187
0.000 0.500 0.500
0.031 0.945 0.236
0.049 0.414 0.176
0.206 0.354 0.560
0.209 0.445 0.914
0.239 0.873 0.824
0.261 0.086 0.635
0.291 0.205 0.236
0.294 0.854 0.148
0.451 0.627 0.365
0.469 0.705 0.914
0.500 0.000 0.500
0.531 0.295 0.086
0.549 0.373 0.635
0.706 0.146 0.852
0.709 0.795 0.764
0.739 0.914 0.365
0.761 0.127 0.176
0.791 0.555 0.086
0.794 0.646 0.440
0.951 0.586 0.824
0.969 0.055 0.764
```

## Properties
D(E_F) = 0.193 states/eV/atom
Raw formation energy = -1.72 eV/atom
Magnetic moment = 0.256 μB/cell